<one>
Entry from the Alexandria database: TePt2F after structural relaxation (PBE).

Values from the calculation:
- Crystal system: tetragonal

a b c (Å): 7.0159 7.0159 5.6179
angles (deg): 90.00 90.00 90.00
With the nearest neighbours (Å) after each atom.
Space group I-42d (No. 122)
Unique sites:
Te (0.0000, 0.0000, 0.0000) (multiplicity 4)  4 Pt 2.63, 2 F 2.81
Pt (0.2391, 0.2500, 0.6250) (multiplicity 8)  2 F 2.53, 2 Te 2.63, 2 Pt 2.81
F (0.0000, 0.0000, 0.5000) (multiplicity 4)  4 Pt 2.53, 2 Te 2.81

<two>
Entry from the Alexandria database: TePt2F after structural relaxation (PBE).

Values from the calculation:
- Crystal system: cubic

a b c (Å): 6.3838 6.3838 6.3838
angles (deg): 90.00 90.00 90.00
With the nearest neighbours (Å) after each atom.
Space group Fm-3m (No. 225)
Unique sites:
Te (0.0000, 0.0000, 0.0000) (multiplicity 4)  8 Pt 2.76
Pt (0.2500, 0.2500, 0.2500) (multiplicity 8)  4 Te 2.76, 4 F 2.76
F (0.0000, 0.0000, 0.5000) (multiplicity 4)  8 Pt 2.76

What should be chosen as the least stable of them? Choose <one>.

<one>
Entry from the Alexandria database: TePtF3 after structural relaxation (PBE).

Values from the calculation:
- Crystal system: cubic

a b c (Å): 4.4521 4.4521 4.4521
angles (deg): 90.00 90.00 90.00
With the nearest neighbours (Å) after each atom.
Space group Pm-3m (No. 221)
Unique sites:
Te (0.0000, 0.0000, 0.0000) (multiplicity 1)  6 F 2.23
Pt (0.5000, 0.5000, 0.5000) (multiplicity 1)  12 F 3.15
F (0.0000, 0.0000, 0.5000) (multiplicity 3)  2 Te 2.23

<two>
Entry from the Alexandria database: TePtF3 after structural relaxation (PBE).

Values from the calculation:
- Crystal system: cubic

a b c (Å): 4.4048 4.4048 4.4048
angles (deg): 90.00 90.00 90.00
With the nearest neighbours (Å) after each atom.
Space group Pm-3m (No. 221)
Unique sites:
Te (0.0000, 0.0000, 0.0000) (multiplicity 1)  12 F 3.11
Pt (0.5000, 0.5000, 0.5000) (multiplicity 1)  6 F 2.20
F (0.0000, 0.5000, 0.5000) (multiplicity 3)  2 Pt 2.20

What should be chosen as the least stable of them? Choose <one>.

<one>
Entry from the Alexandria database: TiPt2F after structural relaxation (PBE).

Values from the calculation:
- Crystal system: cubic

a b c (Å): 6.1440 6.1440 6.1440
angles (deg): 90.00 90.00 90.00
With the nearest neighbours (Å) after each atom.
Space group Fm-3m (No. 225)
Unique sites:
Ti (0.0000, 0.0000, 0.0000) (multiplicity 4)  8 Pt 2.66
Pt (0.2500, 0.2500, 0.2500) (multiplicity 8)  4 F 2.66, 4 Ti 2.66
F (0.0000, 0.0000, 0.5000) (multiplicity 4)  8 Pt 2.66

<two>
Entry from the Alexandria database: TiPt2F after structural relaxation (PBE).

Values from the calculation:
- Crystal system: tetragonal

a b c (Å): 8.3419 8.3419 4.0891
angles (deg): 90.00 90.00 90.00
With the nearest neighbours (Å) after each atom.
Space group I-42d (No. 122)
Unique sites:
Ti (0.0000, 0.0000, 0.0000) (multiplicity 4)  2 F 2.04
Pt (0.1603, 0.2500, 0.1250) (multiplicity 8)  2 Ti 2.53, 2 Pt 2.53
F (0.0000, 0.0000, 0.5000) (multiplicity 4)  2 Ti 2.04

What should be chosen as the least stable of them? Choose <one>.

<one>
Entry from the Alexandria database: TiPtF2 after structural relaxation (PBE).

Values from the calculation:
- Crystal system: trigonal

a b c (Å): 2.7830 2.7830 30.6994
angles (deg): 90.00 90.00 120.00
With the nearest neighbours (Å) after each atom.
Space group R-3m (No. 166, hexagonal axes)
Unique sites:
Ti (0.0000, 0.0000, 0.0000) (multiplicity 3)  2 F 1.79
Pt (0.0000, 0.0000, 0.5000) (multiplicity 3)  6 Pt 2.78
F (0.0000, 0.0000, 0.0583) (multiplicity 6)  1 Ti 1.79

<two>
Entry from the Alexandria database: TiPtF2 after structural relaxation (PBE).

Values from the calculation:
- Crystal system: tetragonal

a b c (Å): 3.9818 3.9818 13.9530
angles (deg): 90.00 90.00 90.00
With the nearest neighbours (Å) after each atom.
Space group I-42d (No. 122)
Unique sites:
Ti (0.0000, 0.0000, 0.0000) (multiplicity 4)  4 F 2.08
Pt (0.0000, 0.0000, 0.5000) (multiplicity 4)  4 F 2.47
F (0.1368, 0.2500, 0.1250) (multiplicity 8)  2 Ti 2.08, 2 F 2.27

What should be chosen as the least stable of them? Choose <two>.